## P
Entry from Alexandria: a geometry-optimized Y2ZrFe2 structure (GGA-PBE).

Unit cell a=4.6496 b=4.6496 c=5.8582 alpha=66.62 beta=66.62 gamma=90.00
With the nearest neighbours (Å) after each atom.
Fractional coordinates of all 5 atoms:
Y: 0.6473 0.6473 0.7053  4 Fe 2.53
Fe: 0.7500 0.2500 0.5000  4 Y 2.53
Y: 0.3527 0.3527 0.2947  4 Fe 2.53
Fe: 0.2500 0.7500 0.5000  4 Y 2.53
Zr: 0.0000 0.0000 0.0000  8 Fe 3.36, 10 Y 3.42-3.58

Properties
D(E_F)   1.252 states/eV/atom

## Q
Entry from Alexandria: a geometry-optimized Y2ZrFe2 structure (GGA-PBE).

Unit cell a=8.0077 b=8.0077 c=3.0669 alpha=90.00 beta=90.00 gamma=90.00
With the nearest neighbours (Å) after each atom.
Fractional coordinates of all 10 atoms:
Zr: 0.5000 0.5000 0.0000  2 Zr 3.07, 4 Y 3.11, 8 Fe 3.34
Y: 0.8647 0.6353 0.0000  6 Fe 2.66-2.92
Zr: 0.0000 0.0000 0.0000  2 Zr 3.07, 4 Y 3.11, 8 Fe 3.34
Y: 0.6353 0.1353 0.0000  6 Fe 2.66-2.92
Y: 0.1353 0.3647 0.0000  6 Fe 2.66-2.92
Fe: 0.8274 0.3274 0.5000  6 Y 2.66-2.92
Fe: 0.6726 0.8274 0.5000  6 Y 2.66-2.92
Fe: 0.1726 0.6726 0.5000  6 Y 2.66-2.92
Y: 0.3647 0.8647 0.0000  6 Fe 2.66-2.92
Fe: 0.3274 0.1726 0.5000  6 Y 2.66-2.92

Properties
D(E_F)   1.306 states/eV/atom

Computed stability ranking, most favorable first: Q, P

## P
Entry from Alexandria: a geometry-optimized Zn4Fe5 structure (GGA-PBE).

Unit cell a=3.6903 b=5.8363 c=5.8363 alpha=95.74 beta=108.43 gamma=71.57
With the nearest neighbours (Å) after each atom.
Fractional coordinates of all 9 atoms:
Fe: 0.3360 0.3281 0.0000  6 Fe 2.57-2.65, 6 Zn 2.58-2.63
Zn: 0.0000 0.3250 0.3250  7 Fe 2.55-2.63, 5 Zn 2.68-2.74
Fe: 0.6640 0.0000 0.3281  6 Fe 2.57-2.65, 6 Zn 2.58-2.63
Fe: 0.3360 0.0000 0.6719  6 Fe 2.57-2.65, 6 Zn 2.58-2.63
Fe: 0.6640 0.6719 0.0000  6 Fe 2.57-2.65, 6 Zn 2.58-2.63
Zn: 0.6750 0.3250 0.6750  7 Fe 2.55-2.63, 5 Zn 2.68-2.74
Zn: 0.3250 0.6750 0.3250  7 Fe 2.55-2.63, 5 Zn 2.68-2.74
Fe: 0.0000 0.0000 0.0000  4 Zn 2.55, 8 Fe 2.59
Zn: 0.0000 0.6750 0.6750  7 Fe 2.55-2.63, 5 Zn 2.68-2.74

Properties
D(E_F)   0.575 states/eV/atom

## Q
Entry from Alexandria: a geometry-optimized Zn4Fe5 structure (GGA-PBE).

Unit cell a=7.2915 b=7.2915 c=4.9995 alpha=90.00 beta=90.00 gamma=60.00
With the nearest neighbours (Å) after each atom.
Fractional coordinates of all 18 atoms:
Fe: 0.3333 0.3333 0.0000  8 Fe 2.50-2.70, 6 Zn 2.74
Zn: 0.3304 0.6696 0.7500  5 Fe 2.37-2.50
Fe: 0.3444 0.6556 0.2500  5 Zn 2.37-2.50
Zn: 0.0000 0.0000 0.0000  8 Zn 2.50-2.71
Zn: 0.3304 0.0000 0.2500  5 Fe 2.37-2.50
Fe: 0.6556 0.3444 0.7500  5 Zn 2.37-2.50
Fe: 0.3444 0.0000 0.7500  5 Zn 2.37-2.50
Zn: 0.0000 0.6696 0.2500  5 Fe 2.37-2.50
Fe: 0.0000 0.6556 0.7500  5 Zn 2.37-2.50
Fe: 0.3333 0.3333 0.5000  8 Fe 2.50-2.70, 6 Zn 2.74
Zn: 0.0000 0.0000 0.5000  8 Zn 2.50-2.71
Fe: 0.6556 0.0000 0.2500  5 Zn 2.37-2.50
Zn: 0.0000 0.3304 0.7500  5 Fe 2.37-2.50
Fe: 0.6667 0.6667 0.0000  8 Fe 2.50-2.70, 6 Zn 2.74
Fe: 0.0000 0.3444 0.2500  5 Zn 2.37-2.50
Zn: 0.6696 0.0000 0.7500  5 Fe 2.37-2.50
Zn: 0.6696 0.3304 0.2500  5 Fe 2.37-2.50
Fe: 0.6667 0.6667 0.5000  8 Fe 2.50-2.70, 6 Zn 2.74

Properties
D(E_F)   0.710 states/eV/atom

Computed stability ranking, most favorable first: P, Q

## P
Entry from Alexandria: a geometry-optimized Zn9Fe4 structure (GGA-PBE).

Unit cell a=7.7476 b=7.7476 c=7.7476 alpha=109.47 beta=109.47 gamma=109.47
With the nearest neighbours (Å) after each atom.
Fractional coordinates of all 26 atoms:
Fe: 0.0000 0.2064 0.0000  6 Fe 2.44-2.61, 6 Zn 2.56-2.61
Zn: 0.6419 0.6419 0.3946  3 Fe 2.56-2.64, 7 Zn 2.62-2.79
Fe: 0.7936 0.7936 0.7936  6 Fe 2.44-2.61, 6 Zn 2.56-2.61
Fe: 0.3161 0.3161 0.3161  3 Fe 2.44, 9 Zn 2.61-2.67
Zn: 0.6437 0.6437 0.0000  7 Zn 2.57-2.79, 4 Fe 2.61-2.67
Zn: 0.0000 0.3581 0.7527  3 Fe 2.56-2.64, 7 Zn 2.62-2.79
Zn: 0.2473 0.6054 0.2473  3 Fe 2.56-2.64, 7 Zn 2.62-2.79
Zn: 0.0000 0.7527 0.3581  3 Fe 2.56-2.64, 7 Zn 2.62-2.79
Fe: 0.0000 0.0000 0.2064  6 Fe 2.44-2.61, 6 Zn 2.56-2.61
Zn: 0.3581 0.7527 0.0000  3 Fe 2.56-2.64, 7 Zn 2.62-2.79
Fe: 0.2064 0.0000 0.0000  6 Fe 2.44-2.61, 6 Zn 2.56-2.61
Fe: 0.0000 0.6839 0.0000  3 Fe 2.44, 9 Zn 2.61-2.67
Zn: 0.6437 0.0000 0.6437  7 Zn 2.57-2.79, 4 Fe 2.61-2.67
Zn: 0.7527 0.3581 0.0000  3 Fe 2.56-2.64, 7 Zn 2.62-2.79
Zn: 0.6054 0.2473 0.2473  3 Fe 2.56-2.64, 7 Zn 2.62-2.79
Zn: 0.3563 0.0000 0.3563  7 Zn 2.57-2.79, 4 Fe 2.61-2.67
Fe: 0.6839 0.0000 0.0000  3 Fe 2.44, 9 Zn 2.61-2.67
Zn: 0.3946 0.6419 0.6419  3 Fe 2.56-2.64, 7 Zn 2.62-2.79
Zn: 0.3563 0.3563 0.0000  7 Zn 2.57-2.79, 4 Fe 2.61-2.67
Zn: 0.6419 0.3946 0.6419  3 Fe 2.56-2.64, 7 Zn 2.62-2.79
Zn: 0.3581 0.0000 0.7527  3 Fe 2.56-2.64, 7 Zn 2.62-2.79
Zn: 0.7527 0.0000 0.3581  3 Fe 2.56-2.64, 7 Zn 2.62-2.79
Fe: 0.0000 0.0000 0.6839  3 Fe 2.44, 9 Zn 2.61-2.67
Zn: 0.0000 0.3563 0.3563  7 Zn 2.57-2.79, 4 Fe 2.61-2.67
Zn: 0.2473 0.2473 0.6054  3 Fe 2.56-2.64, 7 Zn 2.62-2.79
Zn: 0.0000 0.6437 0.6437  7 Zn 2.57-2.79, 4 Fe 2.61-2.67

Properties
D(E_F)   0.548 states/eV/atom

## Q
Entry from Alexandria: a geometry-optimized Zn9Fe4 structure (GGA-PBE).

Unit cell a=7.7338 b=7.7338 c=7.7499 alpha=70.56 beta=70.56 gamma=109.63
With the nearest neighbours (Å) after each atom.
Fractional coordinates of all 26 atoms:
Zn: 0.3510 0.7325 0.3406  3 Fe 2.56-2.67, 5 Zn 2.57-2.69
Zn: 0.0053 0.0053 0.6915  4 Fe 2.55-2.56, 8 Zn 2.57-2.74
Fe: 0.2543 0.2543 0.7584  2 Fe 2.45-2.47, 7 Zn 2.55-2.72
Fe: 0.9985 0.6581 0.3388  2 Fe 2.45-2.57, 9 Zn 2.56-2.71
Zn: 0.3532 0.3532 0.3473  8 Zn 2.55-2.83, 3 Fe 2.58-2.77
Zn: 0.6471 0.9909 0.7088  8 Zn 2.58-2.86, 3 Fe 2.67-2.82
Zn: 0.3480 0.0000 0.9821  5 Zn 2.56-2.80, 5 Fe 2.56-2.76
Zn: 0.7325 0.3510 0.3406  3 Fe 2.56-2.67, 5 Zn 2.57-2.69
Zn: 0.7775 0.7775 0.5612  8 Zn 2.58-2.77, 4 Fe 2.63-2.72
Zn: 0.9909 0.6471 0.7088  8 Zn 2.58-2.86, 3 Fe 2.67-2.82
Zn: 0.2162 0.0000 0.3331  9 Zn 2.57-2.77, 3 Fe 2.59-2.63
Fe: 0.3545 0.3545 0.9943  3 Fe 2.45-2.70, 7 Zn 2.56-2.73
Zn: 0.0000 0.3480 0.9821  5 Zn 2.56-2.80, 5 Fe 2.56-2.76
Zn: 0.6229 0.2740 0.0745  4 Fe 2.56-2.79, 6 Zn 2.56-2.85
Fe: 0.9897 0.7439 0.0095  3 Fe 2.45-2.57, 5 Zn 2.55-2.70
Zn: 0.3765 0.6503 0.6948  6 Zn 2.56-2.82, 3 Fe 2.57-2.69
Zn: 0.0000 0.2162 0.3331  9 Zn 2.57-2.77, 3 Fe 2.59-2.63
Fe: 0.7439 0.9897 0.0095  3 Fe 2.45-2.57, 5 Zn 2.55-2.70
Zn: 0.6442 0.6442 0.3374  4 Zn 2.55-2.61, 6 Fe 2.58-2.76
Fe: 0.9970 0.9970 0.1366  6 Fe 2.46-2.70, 6 Zn 2.56-2.69
Fe: 0.6572 0.6572 0.9734  8 Zn 2.56-2.76, 3 Fe 2.57-2.61
Zn: 0.2740 0.6229 0.0745  4 Fe 2.56-2.79, 6 Zn 2.56-2.85
Zn: 0.6503 0.3765 0.6948  6 Zn 2.56-2.82, 3 Fe 2.57-2.69
Zn: 0.0030 0.3542 0.6180  8 Zn 2.57-2.86, 3 Fe 2.63-2.76
Zn: 0.3542 0.0030 0.6180  8 Zn 2.57-2.86, 3 Fe 2.63-2.76
Fe: 0.6581 0.9985 0.3388  2 Fe 2.45-2.57, 9 Zn 2.56-2.71

Properties
D(E_F)   0.674 states/eV/atom

Computed stability ranking, most favorable first: P, Q

## P
Entry from Alexandria: a geometry-optimized Zr3Zn2Fe structure (GGA-PBE).

Unit cell a=4.6441 b=7.3324 c=6.6297 alpha=90.00 beta=90.00 gamma=71.54
With the nearest neighbours (Å) after each atom.
Fractional coordinates of all 12 atoms:
Fe: 0.6636 0.6728 0.0000  8 Zr 2.79-2.81
Zr: 0.8291 0.3419 0.7614  3 Fe 2.79-2.81, 5 Zn 2.86-2.94
Zr: 0.8291 0.3419 0.2386  3 Fe 2.79-2.81, 5 Zn 2.86-2.94
Zn: 0.3362 0.3276 0.5000  8 Zr 2.85-2.90
Zr: 0.1709 0.6581 0.2386  3 Fe 2.79-2.81, 5 Zn 2.86-2.94
Zn: 0.0000 0.0000 0.0000  8 Zr 2.83-2.86
Zr: 0.5000 0.0000 0.2428  2 Fe 2.79, 6 Zn 2.83-2.88
Zn: 0.0000 0.0000 0.5000  8 Zr 2.88-2.94
Zr: 0.1709 0.6581 0.7614  3 Fe 2.79-2.81, 5 Zn 2.86-2.94
Zr: 0.5000 0.0000 0.7572  2 Fe 2.79, 6 Zn 2.83-2.88
Zn: 0.6638 0.6724 0.5000  8 Zr 2.85-2.90
Fe: 0.3364 0.3272 0.0000  8 Zr 2.79-2.81

Properties
D(E_F)   0.634 states/eV/atom

## Q
Entry from Alexandria: a geometry-optimized Zr3Zn2Fe structure (GGA-PBE).

Unit cell a=3.2852 b=3.2852 c=9.9201 alpha=90.00 beta=90.00 gamma=90.00
With the nearest neighbours (Å) after each atom.
Fractional coordinates of all 6 atoms:
Fe: 0.5000 0.5000 0.5000  8 Zr 2.78
Zr: 0.0000 0.0000 0.3458  4 Fe 2.78, 4 Zn 2.90, 1 Zr 3.06
Zn: 0.5000 0.5000 0.1717  8 Zr 2.88-2.90
Zn: 0.5000 0.5000 0.8283  8 Zr 2.88-2.90
Zr: 0.0000 0.0000 0.6542  4 Fe 2.78, 4 Zn 2.90, 1 Zr 3.06
Zr: 0.0000 0.0000 0.0000  8 Zn 2.88

Properties
D(E_F)   0.640 states/eV/atom

Computed stability ranking, most favorable first: Q, P

## P
Entry from Alexandria: a geometry-optimized ZrZnFe3 structure (GGA-PBE).

Unit cell a=4.5924 b=4.5924 c=4.5924 alpha=90.00 beta=90.00 gamma=90.00
With the nearest neighbours (Å) after each atom.
Fractional coordinates of all 5 atoms:
Zr: 0.0000 0.0000 0.0000  6 Fe 2.30
Zn: 0.5000 0.5000 0.5000  12 Fe 3.25
Fe: 0.0000 0.5000 0.0000  2 Zr 2.30
Fe: 0.5000 0.0000 0.0000  2 Zr 2.30
Fe: 0.0000 0.0000 0.5000  2 Zr 2.30

Properties
D(E_F)   1.106 states/eV/atom

## Q
Entry from Alexandria: a geometry-optimized ZrZnFe3 structure (GGA-PBE).

Unit cell a=4.4091 b=4.4091 c=4.4091 alpha=90.00 beta=90.00 gamma=90.00
With the nearest neighbours (Å) after each atom.
Fractional coordinates of all 5 atoms:
Zr: 0.5000 0.5000 0.5000  12 Fe 3.12
Fe: 0.0000 0.0000 0.5000  2 Zn 2.20
Fe: 0.0000 0.5000 0.0000  2 Zn 2.20
Fe: 0.5000 0.0000 0.0000  2 Zn 2.20
Zn: 0.0000 0.0000 0.0000  6 Fe 2.20

Properties
D(E_F)   1.257 states/eV/atom

Computed stability ranking, most favorable first: Q, P

## P
Entry from Alexandria: a geometry-optimized Zr6ZnFe structure (GGA-PBE).

Unit cell a=5.9071 b=7.7047 c=5.5783 alpha=67.75 beta=84.19 gamma=46.08
With the nearest neighbours (Å) after each atom.
Fractional coordinates of all 8 atoms:
Zn: 0.5000 0.5000 0.5000  6 Zr 2.91-2.99, 2 Fe 3.01
Zr: 0.1232 0.2595 0.7405  1 Fe 2.50
Zr: 0.5920 0.6507 0.9490  1 Fe 2.62
Fe: 0.0000 0.0000 0.0000  6 Zr 2.50-2.62
Zr: 0.8768 0.7405 0.2595  1 Fe 2.50
Zr: 0.4080 0.3493 0.0510  1 Fe 2.62
Zr: 0.8081 0.9492 0.6507  1 Fe 2.62
Zr: 0.1919 0.0508 0.3493  1 Fe 2.62

Properties
D(E_F)   0.822 states/eV/atom

## Q
Entry from Alexandria: a geometry-optimized Zr6ZnFe structure (GGA-PBE).

Unit cell a=4.5971 b=4.5972 c=8.3585 alpha=74.02 beta=74.02 gamma=89.99
With the nearest neighbours (Å) after each atom.
Fractional coordinates of all 8 atoms:
Zr: 0.6084 0.1083 0.7832  2 Zn 2.84, 2 Fe 2.84, 4 Zr 3.16-3.17
Zn: 0.5000 0.5000 0.0000  8 Zr 2.84
Zr: 0.7503 0.7503 0.4994  12 Zr 3.16-3.25
Zr: 0.8917 0.3916 0.2168  2 Zn 2.84, 2 Fe 2.84, 4 Zr 3.16-3.17
Zr: 0.3916 0.8917 0.2168  2 Zn 2.84, 2 Fe 2.84, 4 Zr 3.16-3.17
Fe: 0.0000 0.0000 0.0000  8 Zr 2.84
Zr: 0.1083 0.6084 0.7832  2 Zn 2.84, 2 Fe 2.84, 4 Zr 3.16-3.17
Zr: 0.2497 0.2497 0.5006  12 Zr 3.16-3.25

Properties
D(E_F)   0.845 states/eV/atom

Computed stability ranking, most favorable first: Q, P